Here is a geometry-optimized AgHg2Ir structure from Alexandria. Energies are from PBEsol.

Geometry as CIF:
```
data_AgHg2Ir
_chemical_formula_sum 'Ag2 Hg4 Ir2'
_space_group_name_H-M_alt 'C m m m'
_space_group_IT_number 65
_space_group_name_Hall '-C 2 2'
_cell_length_a 2.978
_cell_length_b 4.988
_cell_length_c 9.519
_cell_angle_alpha 90.00
_cell_angle_beta 90.00
_cell_angle_gamma 90.00
loop_
_atom_site_label
_atom_site_type_symbol
_atom_site_fract_x
_atom_site_fract_y
_atom_site_fract_z
_atom_site_occupancy
Ag1 Ag 0.000 0.000 0.000 1
Hg1 Hg 0.000 0.500 0.254 1
Ir1 Ir 0.000 0.000 0.500 1
```

The crystal system is orthorhombic. For the total energy, the calculation gives -3.24 eV/atom. Its total magnetic moment is 0.0 μB per formula unit. Its density of states at the Fermi level is 2.0 states/eV/f.u.

***

Here is a geometry-optimized SiS2 structure from Alexandria. Energies are from PBEsol.

Geometry as CIF:
```
data_SiS2
_chemical_formula_sum 'Si4 S8'
_space_group_name_H-M_alt 'I -4 2 d'
_space_group_IT_number 122
_space_group_name_Hall 'I -4 2bw'
_cell_length_a 5.479
_cell_length_b 5.479
_cell_length_c 8.615
_cell_angle_alpha 90.00
_cell_angle_beta 90.00
_cell_angle_gamma 90.00
loop_
_atom_site_label
_atom_site_type_symbol
_atom_site_fract_x
_atom_site_fract_y
_atom_site_fract_z
_atom_site_occupancy
Si1 Si 0.000 0.000 0.000 1
S1 S 0.227 0.750 0.125 1
```

The crystal system is tetragonal. For the total energy, the calculation gives -5.49 eV/atom. Its total magnetic moment is 0.0 μB per formula unit. Its density of states at the Fermi level is 0.0 states/eV/f.u.